(1)
Density functional theory data (PBE) for crystalline Y6Tm2Pu at its relaxed geometry.

Cell lengths 7.1753, 7.1753, 18.7457 Å; angles 90.00, 90.00, 120.00 degrees
Space group R3m (No. 160, hexagonal axes)
Unique sites:
Y 0.0005 0.5002 0.0000 (multiplicity 9)
Y 0.0209 0.5105 0.8136 (multiplicity 9)
Tm 0.0000 0.0000 0.8228 (multiplicity 3)
Tm 0.0000 0.0000 0.9985 (multiplicity 3)
Pu 0.0000 0.0000 0.5612 (multiplicity 3)

Computed properties:
DFT formation energy = 0.592 eV/atom
theoretical density = 6.6 Mg/m³

=====

(2)
Density functional theory data (PBE) for crystalline Y2Tm6Pu at its relaxed geometry.

Cell lengths 3.492, 8.514, 9.438 Å; angles 102.91, 90.01, 90.08 degrees
Space group P-1 (No. 2)
Unique sites:
Y 0.000 0.149 0.284 (multiplicity 2)
Tm 0.001 0.478 0.816 (multiplicity 2)
Tm 0.499 0.833 0.388 (multiplicity 2)
Tm 0.500 0.192 0.965 (multiplicity 2)
Pu 0.500 0.500 0.500 (multiplicity 1)

Computed properties:
DFT formation energy = 0.052 eV/atom
theoretical density = 8.7 Mg/m³

=====

(3)
Density functional theory data (PBE) for crystalline YTm2Pu at its relaxed geometry.

Cell lengths 3.5142, 3.5142, 33.7549 Å; angles 90.00, 90.00, 120.00 degrees
Space group R3m (No. 160, hexagonal axes)
Unique sites:
Y 0.0000 0.0000 0.0000 (multiplicity 3)
Tm 0.0000 0.0000 0.5815 (multiplicity 3)
Tm 0.0000 0.0000 0.7508 (multiplicity 3)
Pu 0.0000 0.0000 0.1656 (multiplicity 3)

Computed properties:
DFT formation energy = 0.087 eV/atom
energy above the most stable polymorph in this dataset = 0.0 meV per atom
theoretical density = 9.3 Mg/m³

=====

(4)
Density functional theory data (PBE) for crystalline YTm4Pu at its relaxed geometry.

Cell lengths 3.492, 18.160, 11.291 Å; angles 90.00, 90.00, 90.00 degrees
Space group Cmc2_1 (No. 36)
Unique sites:
Y 0.000 0.222 0.000 (multiplicity 4)
Tm 0.000 0.001 0.755 (multiplicity 4)
Tm 0.000 0.110 0.506 (multiplicity 4)
Tm 0.000 0.333 0.754 (multiplicity 4)
Tm 0.000 0.444 0.503 (multiplicity 4)
Pu 0.000 0.334 0.251 (multiplicity 4)

Computed properties:
DFT formation energy = 0.045 eV/atom
energy above the most stable polymorph in this dataset = 0.0 meV per atom
theoretical density = 9.4 Mg/m³

=====

(5)
Density functional theory data (PBE) for crystalline Y4Tm8Pu at its relaxed geometry.

Cell lengths 10.8587, 10.8587, 13.2557 Å; angles 90.00, 90.00, 120.00 degrees
Space group R-3m (No. 166, hexagonal axes)
Unique sites:
Y 0.0000 0.0000 0.0000 (multiplicity 3)
Y 0.0000 0.5000 0.0000 (multiplicity 9)
Tm 0.0000 0.0000 0.2454 (multiplicity 6)
Tm 0.0057 0.5029 0.7479 (multiplicity 18)
Pu 0.0000 0.0000 0.5000 (multiplicity 3)

Computed properties:
DFT formation energy = 0.542 eV/atom
theoretical density = 7.2 Mg/m³

=====

(6)
Density functional theory data (PBE) for crystalline Y3Tm12Pu at its relaxed geometry.

Cell lengths 4.949, 4.949, 19.742 Å; angles 90.00, 90.00, 90.00 degrees
Space group P4/mmm (No. 123)
Unique sites:
Y 0.000 0.000 0.000 (multiplicity 1)
Y 0.000 0.000 0.253 (multiplicity 2)
Tm 0.000 0.500 0.126 (multiplicity 4)
Tm 0.000 0.500 0.379 (multiplicity 4)
Tm 0.500 0.500 0.000 (multiplicity 1)
Tm 0.500 0.500 0.251 (multiplicity 2)
Tm 0.500 0.500 0.500 (multiplicity 1)
Pu 0.000 0.000 0.500 (multiplicity 1)

Computed properties:
DFT formation energy = 0.046 eV/atom
theoretical density = 8.7 Mg/m³

=====

(7)
Density functional theory data (PBE) for crystalline YTm2Pu at its relaxed geometry.

Cell lengths 7.839, 7.839, 7.839 Å; angles 90.00, 90.00, 90.00 degrees
Space group Fm-3m (No. 225)
Unique sites:
Y 0.000 0.000 0.000 (multiplicity 4)
Tm 0.250 0.250 0.250 (multiplicity 8)
Pu 0.000 0.000 0.500 (multiplicity 4)

Computed properties:
DFT formation energy = 0.181 eV/atom
energy above the most stable polymorph in this dataset = 93.5 meV per atom
theoretical density = 9.2 Mg/m³

=====

(8)
Density functional theory data (PBE) for crystalline Y12Tm7Pu at its relaxed geometry.

Cell lengths 19.2439, 19.2439, 6.0846 Å; angles 90.00, 90.00, 120.00 degrees
Space group R-3 (No. 148, hexagonal axes)
Unique sites:
Y 0.0020 0.4155 0.9995 (multiplicity 18)
Y 0.0991 0.5522 0.4807 (multiplicity 18)
Tm 0.0000 0.0000 0.0000 (multiplicity 3)
Tm 0.0776 0.9172 0.3088 (multiplicity 18)
Pu 0.0000 0.0000 0.5000 (multiplicity 3)

Computed properties:
DFT formation energy = 0.258 eV/atom
energy above the most stable polymorph in this dataset = 136.3 meV per atom
theoretical density = 6.4 Mg/m³